Compound: NaB2F6
Source: Alexandria
Functional: PBE
Structure: relaxed

a = 6.6508 Å, b = 6.6508 Å, c = 6.9048 Å
α = 116.34°, β = 116.34°, γ = 71.69°
With the nearest neighbours (Å) after each atom.
Positions (direct):
Na  0.1788  0.8212  0.7500  8 F 2.48-2.77
Na  0.8212  0.1788  0.2500  8 F 2.48-2.77
B  0.2421  0.3403  0.8455  3 F 1.37-1.38
B  0.3403  0.2421  0.3455  3 F 1.37-1.38
B  0.6597  0.7579  0.6545  3 F 1.37-1.38
B  0.7579  0.6597  0.1545  3 F 1.37-1.38
F  0.0754  0.2018  0.7012  1 B 1.38
F  0.1681  0.5684  0.9210  1 B 1.37
F  0.2018  0.0754  0.2012  1 B 1.38
F  0.2585  0.4162  0.5089  1 B 1.38
F  0.4162  0.2585  0.0089  1 B 1.38
F  0.4316  0.8319  0.5790  1 B 1.37
F  0.5684  0.1681  0.4210  1 B 1.37
F  0.5838  0.7415  0.9911  1 B 1.38
F  0.7415  0.5838  0.4911  1 B 1.38
F  0.7982  0.9246  0.7988  1 B 1.38
F  0.8319  0.4316  0.0790  1 B 1.37
F  0.9246  0.7982  0.2988  1 B 1.38

- Space-group type: No. 15
- E_form (uncorrected): -2.406 eV/atom
- Density of states at the Fermi level: 1.79 states/eV per cell
- Crystal system: monoclinic
- Calculated total energy: -5.284 eV/atom

---

Compound: NaB2F
Source: Alexandria
Functional: PBE
Structure: relaxed

a = 13.3017 Å, b = 13.3017 Å, c = 13.3017 Å
α = 166.55°, β = 166.55°, γ = 19.07°
With the nearest neighbours (Å) after each atom.
Positions (direct):
Na  0.3750  0.6250  0.7500  4 F 2.20
Na  0.6250  0.3750  0.2500  4 F 2.20
B  0.0000  0.0000  0.0000  2 B 1.56
B  0.0000  0.0000  0.5000  2 B 1.56
B  0.0000  0.5000  0.0000  2 B 1.56
B  0.5000  0.0000  0.5000  2 B 1.56
F  0.1250  0.8750  0.2500  4 Na 2.20
F  0.8750  0.1250  0.7500  4 Na 2.20

- Energy relative to the lowest polymorph listed for this composition: 0.0000 eV/atom
- Space-group type: No. 141
- E_form (uncorrected): -0.530 eV/atom
- Density of states at the Fermi level: 2.10 states/eV per cell
- Crystal system: tetragonal
- Calculated total energy: -4.666 eV/atom

---

Compound: NaB2F
Source: Alexandria
Functional: PBE
Structure: relaxed

a = 4.2972 Å, b = 4.2972 Å, c = 4.2972 Å
α = 60.00°, β = 60.00°, γ = 60.00°
With the nearest neighbours (Å) after each atom.
Positions (direct):
Na  0.0000  0.0000  0.0000  8 B 2.63
B  0.2500  0.2500  0.2500  4 F 2.63, 4 Na 2.63
B  0.7500  0.7500  0.7500  4 F 2.63, 4 Na 2.63
F  0.5000  0.5000  0.5000  8 B 2.63

- Energy relative to the lowest polymorph listed for this composition: 2.0556 eV/atom
- Space-group type: No. 225
- E_form (uncorrected): 1.525 eV/atom
- Density of states at the Fermi level: 5.05 states/eV per cell
- Crystal system: cubic
- Calculated total energy: -2.611 eV/atom

---

Compound: NaB3F
Source: Alexandria
Functional: PBE
Structure: relaxed

a = 4.7556 Å, b = 4.7556 Å, c = 4.7556 Å
α = 90.00°, β = 90.00°, γ = 90.00°
With the nearest neighbours (Å) after each atom.
Positions (direct):
Na  0.0000  0.0000  0.0000  6 B 2.38
B  0.0000  0.0000  0.5000  2 Na 2.38
B  0.0000  0.5000  0.0000  2 Na 2.38
B  0.5000  0.0000  0.0000  2 Na 2.38
F  0.5000  0.5000  0.5000  12 B 3.36

- Energy relative to the lowest polymorph listed for this composition: 0.8003 eV/atom
- Space-group type: No. 221
- E_form (uncorrected): 2.659 eV/atom
- Density of states at the Fermi level: 6.17 states/eV per cell
- Crystal system: cubic
- Calculated total energy: -1.986 eV/atom

---

Compound: Na3BF6
Source: Alexandria
Functional: PBE
Structure: relaxed

a = 6.9524 Å, b = 6.9524 Å, c = 6.0881 Å
α = 90.00°, β = 90.00°, γ = 97.08°
With the nearest neighbours (Å) after each atom.
Positions (direct):
Na  0.0584  0.9416  0.5000  4 F 2.25-2.26
Na  0.1871  0.3897  0.4824  3 F 2.16-2.39
Na  0.3897  0.1871  0.9824  3 F 2.16-2.39
Na  0.6103  0.8129  0.4824  3 F 2.16-2.39
Na  0.8129  0.6103  0.9824  3 F 2.16-2.39
Na  0.9416  0.0584  0.0000  4 F 2.25-2.26
B  0.3281  0.6719  0.8992  4 F 1.41-1.45
B  0.6719  0.3281  0.3992  4 F 1.41-1.45
F  0.1535  0.5949  0.9996  1 B 1.41
F  0.1591  0.1752  0.7433  4 Na 2.16-2.26
F  0.1752  0.1591  0.2433  4 Na 2.16-2.26
F  0.2935  0.7065  0.6684  1 B 1.45
F  0.4051  0.8465  0.9996  1 B 1.41
F  0.4647  0.5353  0.9121  1 B 1.43
F  0.5353  0.4647  0.4121  1 B 1.43
F  0.5949  0.1535  0.4996  1 B 1.41
F  0.7065  0.2935  0.1684  1 B 1.45
F  0.8248  0.8409  0.7433  4 Na 2.16-2.26
F  0.8409  0.8248  0.2433  4 Na 2.16-2.26
F  0.8465  0.4051  0.4996  1 B 1.41

- Energy relative to the lowest polymorph listed for this composition: 0.0000 eV/atom
- Space-group type: No. 36
- E_form (uncorrected): -2.803 eV/atom
- Density of states at the Fermi level: 0.00 states/eV per cell
- Crystal system: orthorhombic
- Calculated total energy: -4.989 eV/atom

---

Compound: Na6BF12
Source: Alexandria
Functional: PBE
Structure: relaxed

a = 6.3034 Å, b = 6.3034 Å, c = 6.3034 Å
α = 98.10°, β = 98.10°, γ = 98.10°
With the nearest neighbours (Å) after each atom.
Positions (direct):
Na  0.1469  0.6036  0.2550  6 F 2.29-2.41
Na  0.2550  0.1469  0.6036  6 F 2.29-2.41
Na  0.3964  0.7450  0.8531  6 F 2.29-2.41
Na  0.6036  0.2550  0.1469  6 F 2.29-2.41
Na  0.7450  0.8531  0.3964  6 F 2.29-2.41
Na  0.8531  0.3964  0.7450  6 F 2.29-2.41
B  0.0000  0.0000  0.0000  6 F 1.64
F  0.0118  0.7400  0.9458  1 B 1.64
F  0.0542  0.9882  0.2600  1 B 1.64
F  0.1560  0.4795  0.5799  1 F 2.15, 3 Na 2.29-2.33
F  0.2600  0.0542  0.9882  1 B 1.64
F  0.4201  0.8440  0.5205  1 F 2.15, 3 Na 2.29-2.33
F  0.4795  0.5799  0.1560  1 F 2.15, 3 Na 2.29-2.33
F  0.5205  0.4201  0.8440  1 F 2.15, 3 Na 2.29-2.33
F  0.5799  0.1560  0.4795  1 F 2.15, 3 Na 2.29-2.33
F  0.7400  0.9458  0.0118  1 B 1.64
F  0.8440  0.5205  0.4201  1 F 2.15, 3 Na 2.29-2.33
F  0.9458  0.0118  0.7400  1 B 1.64
F  0.9882  0.2600  0.0542  1 B 1.64

- Space-group type: No. 148
- E_form (uncorrected): -2.186 eV/atom
- Density of states at the Fermi level: 13.93 states/eV per cell
- Crystal system: trigonal
- Calculated total energy: -4.136 eV/atom

---

Compound: NaBF
Source: Alexandria
Functional: PBE
Structure: relaxed

a = 6.1816 Å, b = 5.6582 Å, c = 3.9509 Å
α = 77.85°, β = 63.48°, γ = 38.67°
With the nearest neighbours (Å) after each atom.
Positions (direct):
Na  0.0000  0.0000  0.0000  2 F 2.16
Na  0.2818  0.2818  0.7182  2 F 2.48
B  0.4958  0.7791  0.2209  1 F 1.53
B  0.7791  0.4958  0.5042  1 F 1.53
F  0.3195  0.6660  0.3340  1 B 1.53
F  0.6660  0.3195  0.6805  1 B 1.53

- Space-group type: No. 42
- E_form (uncorrected): -0.762 eV/atom
- Density of states at the Fermi level: 0.20 states/eV per cell
- Crystal system: orthorhombic
- Calculated total energy: -4.051 eV/atom

---

Compound: NaBO2F
Source: Alexandria
Functional: PBE
Structure: relaxed

a = 3.0632 Å, b = 3.0632 Å, c = 5.0886 Å
α = 90.00°, β = 90.00°, γ = 90.00°
With the nearest neighbours (Å) after each atom.
Positions (direct):
Na  0.0000  0.0000  0.0000  4 F 2.17
B  0.5000  0.5000  0.5000  4 O 1.53
O  0.0000  0.5000  0.5000  2 B 1.53
O  0.5000  0.0000  0.5000  2 B 1.53
F  0.5000  0.5000  0.0000  4 Na 2.17

- Space-group type: No. 123
- E_form (uncorrected): -1.501 eV/atom
- Density of states at the Fermi level: 1.34 states/eV per cell
- Crystal system: tetragonal
- Calculated total energy: -5.457 eV/atom

---

Compound: NaBO2F
Source: Alexandria
Functional: PBE
Structure: relaxed

a = 4.3378 Å, b = 4.3378 Å, c = 4.1899 Å
α = 90.00°, β = 90.00°, γ = 90.00°
With the nearest neighbours (Å) after each atom.
Positions (direct):
Na  0.0000  0.0000  0.0000  2 F 2.09, 4 O 2.17
B  0.5000  0.5000  0.5000  8 O 3.02, 4 F 3.07
O  0.0000  0.5000  0.0000  2 Na 2.17
O  0.5000  0.0000  0.0000  2 Na 2.17
F  0.0000  0.0000  0.5000  2 Na 2.09

- Space-group type: No. 123
- E_form (uncorrected): 0.893 eV/atom
- Density of states at the Fermi level: 3.92 states/eV per cell
- Crystal system: tetragonal
- Calculated total energy: -3.064 eV/atom

---

Compound: Na2BSO4F3
Source: Alexandria
Functional: PBE
Structure: relaxed

a = 6.6985 Å, b = 6.7096 Å, c = 6.7447 Å
α = 83.23°, β = 67.96°, γ = 82.74°
With the nearest neighbours (Å) after each atom.
Positions (direct):
Na  0.2237  0.3465  0.3863  3 F 2.32-2.39, 3 O 2.36-2.39
Na  0.2411  0.9196  0.7696  3 O 2.42-2.48, 2 F 2.45-2.46
Na  0.7589  0.0804  0.2304  3 O 2.42-2.48, 2 F 2.45-2.46
Na  0.7763  0.6535  0.6137  3 F 2.32-2.39, 3 O 2.36-2.39
B  0.3497  0.3819  0.8498  3 F 1.40-1.43, 1 O 1.49
B  0.6503  0.6181  0.1502  3 F 1.40-1.43, 1 O 1.49
S  0.2621  0.8520  0.2796  4 O 1.46-1.57
S  0.7379  0.1480  0.7204  4 O 1.46-1.57
O  0.1392  0.9495  0.1496  1 S 1.46
O  0.1474  0.6976  0.4421  1 S 1.47
O  0.3382  0.9975  0.3781  1 S 1.48
O  0.4667  0.7436  0.1121  1 B 1.49, 1 S 1.57
O  0.5333  0.2564  0.8879  1 B 1.49, 1 S 1.57
O  0.6618  0.0025  0.6219  1 S 1.48
O  0.8526  0.3024  0.5579  1 S 1.47
O  0.8608  0.0505  0.8504  1 S 1.46
F  0.1916  0.4111  0.0531  1 B 1.40
F  0.2680  0.2845  0.7241  1 B 1.42
F  0.4150  0.5730  0.7418  1 B 1.43
F  0.5850  0.4270  0.2582  1 B 1.43
F  0.7320  0.7155  0.2759  1 B 1.42
F  0.8084  0.5889  0.9469  1 B 1.40

- Space-group type: No. 2
- E_form (uncorrected): -2.250 eV/atom
- Density of states at the Fermi level: 0.00 states/eV per cell
- Crystal system: triclinic
- Calculated total energy: -5.785 eV/atom

---

Compound: NaBOsF2
Source: Alexandria
Functional: PBE
Structure: relaxed

a = 3.9758 Å, b = 3.9758 Å, c = 6.0572 Å
α = 90.00°, β = 90.00°, γ = 90.00°
With the nearest neighbours (Å) after each atom.
Positions (direct):
Na  0.0000  0.0000  0.0000  4 B 2.81, 2 Os 3.03
B  0.5000  0.5000  0.0000  4 Na 2.81
Os  0.0000  0.0000  0.5000  4 F 1.99
F  0.0000  0.5000  0.5000  2 Os 1.99
F  0.5000  0.0000  0.5000  2 Os 1.99

- Space-group type: No. 123
- E_form (uncorrected): 0.650 eV/atom
- Density of states at the Fermi level: 5.12 states/eV per cell
- Crystal system: tetragonal
- Calculated total energy: -3.944 eV/atom

---

Compound: Na2BPbF8
Source: Alexandria
Functional: PBE
Structure: relaxed

a = 4.9774 Å, b = 4.9774 Å, c = 6.3658 Å
α = 90.00°, β = 90.00°, γ = 120.00°
With the nearest neighbours (Å) after each atom.
Positions (direct):
Na  0.3333  0.6667  0.3768  4 F 2.19-2.35
Na  0.6667  0.3333  0.6232  4 F 2.19-2.35
B  0.0000  0.0000  0.5000  6 F 1.62
Pb  0.0000  0.0000  0.0000  12 F 2.58-2.88
F  0.1516  0.3032  0.6514  1 B 1.62
F  0.1516  0.8484  0.6514  1 B 1.62
F  0.3032  0.1516  0.3486  1 B 1.62
F  0.3333  0.6667  0.0333  1 Na 2.19
F  0.6667  0.3333  0.9667  1 Na 2.19
F  0.6968  0.8484  0.6514  1 B 1.62
F  0.8484  0.1516  0.3486  1 B 1.62
F  0.8484  0.6968  0.3486  1 B 1.62

- Space-group type: No. 164
- E_form (uncorrected): -2.206 eV/atom
- Density of states at the Fermi level: 6.24 states/eV per cell
- Crystal system: trigonal
- Calculated total energy: -4.539 eV/atom